RbCr2SiC (GGA-PBEsol, optimized geometry); space group = P4/mmm, No. 123; raw total energy = -6.14 eV per atom; formation energy without anion corrections = 1240 meV per atom; volume = 90 Å³ per cell
1.0
4.116 0.000 0.000
0.000 4.116 0.000
0.000 0.000 5.336
C Rb Cr Si
1 1 2 1
direct
0.000 0.000 0.000
0.000 0.000 0.500
0.500 0.000 0.000
0.000 0.500 0.000
0.500 0.500 0.500

Zr3V2Ni4 (GGA-PBEsol, optimized geometry); space group = P-1, No. 2; raw total energy = -8.22 eV per atom; volume = 258 Å³ per cell
1.0
4.865 0.017 -0.008
2.354 4.345 -0.003
0.243 0.019 12.227
Ni Zr V
8 6 4
direct
0.834 0.335 0.665
0.334 0.834 0.663
0.666 0.166 0.337
0.166 0.665 0.335
0.500 0.000 0.000
0.000 0.000 0.500
0.326 0.327 0.169
0.674 0.673 0.831
0.648 0.659 0.212
0.329 0.327 0.542
0.985 0.003 0.127
0.015 0.997 0.873
0.352 0.341 0.788
0.671 0.673 0.458
0.000 0.500 0.000
0.836 0.833 0.666
0.500 0.500 0.000
0.164 0.167 0.334

SrCa2La (GGA-PBEsol, optimized geometry); space group = P4/mmm, No. 123; raw total energy = -2.76 eV per atom; volume = 163 Å³ per cell
1.0
4.254 0.000 0.000
0.000 6.185 0.000
0.000 0.000 6.185
Ca La Sr
2 1 1
direct
0.000 0.000 0.500
0.000 0.500 0.000
0.500 0.500 0.500
0.500 0.000 0.000